(1)
First-principles (SCAN) data for a PBEsol-optimized structure of TlRhN2, as listed in Alexandria.

Values from the calculation:
Excess energy over the best structure of this formula in the dataset   474 meV/atom

a b c (Å): 6.574 6.574 6.574
angles (deg): 29.33 29.33 29.33
Element x y z (fractional)
Tl 0.000 0.000 0.000
Rh 0.500 0.500 0.500
N 0.404 0.404 0.404
N 0.596 0.596 0.596

(2)
First-principles (SCAN) data for a PBEsol-optimized structure of TlRhN2, as listed in Alexandria.

Values from the calculation:
Excess energy over the best structure of this formula in the dataset   0 meV/atom

a b c (Å): 6.641 6.641 6.641
angles (deg): 27.15 27.15 27.15
Element x y z (fractional)
Tl 0.000 0.000 0.000
Rh 0.500 0.500 0.500
N 0.117 0.117 0.117
N 0.883 0.883 0.883

(3)
First-principles (SCAN) data for a PBEsol-optimized structure of RhW3N, as listed in Alexandria.

a b c (Å): 4.062 4.062 4.062
angles (deg): 90.00 90.00 90.00
Element x y z (fractional)
Rh 0.000 0.000 0.000
W 0.000 0.500 0.500
W 0.500 0.000 0.500
W 0.500 0.500 0.000
N 0.500 0.500 0.500

no.,total DFT energy (no corrections) (eV/cell),formation energy from raw total energies (meV per atom)
1,-120.04,1167
2,-121.94,693
3,-251.86,54